VASP calculation (GGA-PBE) on an optimized crystal structure of InCu2Sn.

The structure in POSCAR format:
```
InCu2Sn
1.0
4.039 0.000 0.000
0.000 5.417 0.000
0.000 0.000 6.737
In Cu Sn
2 4 2
direct
0.000 0.127 0.000
0.000 0.873 0.500
0.000 0.386 0.361
0.000 0.614 0.861
0.500 0.118 0.300
0.500 0.882 0.800
0.500 0.365 0.666
0.500 0.635 0.166
```

Properties
Crystal system = orthorhombic
Energy relative to the elements = 0.03 eV/atom
VASP energy = -0.2719 Ry per atom